(1)
# ZrMo3 (PBE-GGA, optimized geometry)
# Calculated formation energy (eV per formula unit): 0.86
data_ZrMo3
_chemical_formula_sum 'Zr4 Mo12'
_cell_length_a 5.6227
_cell_length_b 9.4304
_cell_length_c 5.3154
_cell_angle_alpha 90.00
_cell_angle_beta 90.00
_cell_angle_gamma 90.00
_symmetry_space_group_name_H-M 'P n m a'
_symmetry_Int_Tables_number 62
_symmetry_space_group_name_Hall '-P 2ac 2n'
loop_
_atom_site_label
_atom_site_type_symbol
_atom_site_fract_x
_atom_site_fract_y
_atom_site_fract_z
_atom_site_occupancy
Zr1 Zr 0.0192 0.2500 0.1401 1
Mo1 Mo 0.0417 0.7500 0.3501 1
Mo2 Mo 0.2334 0.0207 0.6352 1

=====

(2)
# TaCdGa2Te (PBE-GGA, optimized geometry)
# Formation energy (no corrections) (meV/atom): 1149
data_TaCdGa2Te
_chemical_formula_sum 'Ta1 Cd1 Ga2 Te1'
_cell_length_a 5.4021
_cell_length_b 5.4021
_cell_length_c 5.1829
_cell_angle_alpha 90.00
_cell_angle_beta 90.00
_cell_angle_gamma 90.00
_symmetry_space_group_name_H-M 'P 4/m m m'
_symmetry_Int_Tables_number 123
_symmetry_space_group_name_Hall '-P 4 2'
loop_
_atom_site_label
_atom_site_type_symbol
_atom_site_fract_x
_atom_site_fract_y
_atom_site_fract_z
_atom_site_occupancy
Ta1 Ta 0.0000 0.0000 0.0000 1
Cd1 Cd 0.5000 0.5000 0.0000 1
Ga1 Ga 0.0000 0.5000 0.5000 1
Te1 Te 0.0000 0.0000 0.5000 1

=====

Number 1: E -10.05 eV per atom. Number 2: E -3.24 eV per atom.